A relaxed structure of BeVRh3, computed with PBE-GGA.

Cell: 4.0851 4.0851 4.0851 Å, 90.00 90.00 90.00°
Last column: nearest neighbours and their distance in Å.
Atoms (fractional coordinates):
1 Rh 0.0000 0.0000 0.5000  2 Be 2.04
2 V 0.5000 0.5000 0.5000  12 Rh 2.89
3 Be 0.0000 0.0000 0.0000  6 Rh 2.04
4 Rh 0.5000 0.0000 0.0000  2 Be 2.04
5 Rh 0.0000 0.5000 0.0000  2 Be 2.04

Computed properties:
- total energy (eV for the cell shown) = -34.73
- volume (Å³ per cell) = 68
- D(E_F) (states/eV per cell) = 6.49
- excess energy over the best structure of this formula in the dataset (eV/atom) = 0.000
- formation enthalpy at 0 K (eV per atom) = 0.03
- SG = Pm-3m (221)